Model a:
DFT (PBE) results for crystalline HoZnInSe3 at its relaxed geometry.

Geometry as CIF:
```
data_HoZnInSe3
_chemical_formula_sum 'Ho2 Zn2 In2 Se6'
_symmetry_space_group_name_H-M 'P 1'
_symmetry_Int_Tables_number 1
_cell_length_a 8.246
_cell_length_b 4.092
_cell_length_c 10.574
_cell_angle_alpha 90.00
_cell_angle_beta 108.94
_cell_angle_gamma 90.00
loop_
_symmetry_equiv_pos_as_xyz
'x,y,z'
loop_
_atom_site_label
_atom_site_type_symbol
_atom_site_fract_x
_atom_site_fract_y
_atom_site_fract_z
Ho1 Ho 0.191 0.250 0.140
Ho2 Ho 0.809 0.750 0.860
Zn1 Zn 0.425 0.750 0.391
Zn2 Zn 0.575 0.250 0.609
In1 In 0.228 0.750 0.713
In2 In 0.772 0.250 0.287
Se1 Se 0.053 0.250 0.859
Se2 Se 0.273 0.250 0.438
Se3 Se 0.440 0.750 0.162
Se4 Se 0.560 0.250 0.838
Se5 Se 0.727 0.750 0.562
Se6 Se 0.947 0.750 0.141
```

Output
* crystal system: monoclinic

=====

Model b:
DFT (PBE) results for crystalline HoZnInSe3 at its relaxed geometry.

Geometry as CIF:
```
data_HoZnInSe3
_chemical_formula_sum 'Ho2 Zn2 In2 Se6'
_symmetry_space_group_name_H-M 'P 1'
_symmetry_Int_Tables_number 1
_cell_length_a 9.016
_cell_length_b 9.016
_cell_length_c 8.954
_cell_angle_alpha 103.56
_cell_angle_beta 103.56
_cell_angle_gamma 26.40
loop_
_symmetry_equiv_pos_as_xyz
'x,y,z'
loop_
_atom_site_label
_atom_site_type_symbol
_atom_site_fract_x
_atom_site_fract_y
_atom_site_fract_z
Ho1 Ho 0.173 0.173 0.088
Ho2 Ho 0.827 0.827 0.912
Zn1 Zn 0.479 0.479 0.781
Zn2 Zn 0.521 0.521 0.219
In1 In 0.137 0.137 0.574
In2 In 0.863 0.863 0.426
Se1 Se 0.000 0.000 0.000
Se2 Se 0.332 0.332 0.695
Se3 Se 0.337 0.337 0.136
Se4 Se 0.500 0.500 0.500
Se5 Se 0.663 0.663 0.864
Se6 Se 0.668 0.668 0.305
```

Output
* crystal system: monoclinic

=====

Model c:
DFT (PBE) results for crystalline HoZnInSe3 at its relaxed geometry.

Geometry as CIF:
```
data_HoZnInSe3
_chemical_formula_sum 'Ho4 Zn4 In4 Se12'
_symmetry_space_group_name_H-M 'P 1'
_symmetry_Int_Tables_number 1
_cell_length_a 11.654
_cell_length_b 4.225
_cell_length_c 12.425
_cell_angle_alpha 90.00
_cell_angle_beta 90.00
_cell_angle_gamma 90.00
loop_
_symmetry_equiv_pos_as_xyz
'x,y,z'
loop_
_atom_site_label
_atom_site_type_symbol
_atom_site_fract_x
_atom_site_fract_y
_atom_site_fract_z
Ho1 Ho 0.022 0.250 0.179
Ho2 Ho 0.478 0.750 0.679
Ho3 Ho 0.522 0.250 0.321
Ho4 Ho 0.978 0.750 0.821
Zn1 Zn 0.248 0.750 0.302
Zn2 Zn 0.252 0.250 0.802
Zn3 Zn 0.748 0.750 0.198
Zn4 Zn 0.752 0.250 0.698
In1 In 0.171 0.250 0.504
In2 In 0.329 0.750 0.004
In3 In 0.671 0.250 0.996
In4 In 0.829 0.750 0.496
Se1 Se 0.039 0.750 0.338
Se2 Se 0.097 0.250 0.936
Se3 Se 0.227 0.750 0.692
Se4 Se 0.273 0.250 0.192
Se5 Se 0.403 0.750 0.436
Se6 Se 0.461 0.250 0.838
Se7 Se 0.539 0.750 0.162
Se8 Se 0.597 0.250 0.564
Se9 Se 0.727 0.750 0.808
Se10 Se 0.773 0.250 0.308
Se11 Se 0.903 0.750 0.064
Se12 Se 0.961 0.250 0.662
```

Output
* crystal system: orthorhombic

=====

Model d:
DFT (PBE) results for crystalline HoZnInSe3 at its relaxed geometry.

Geometry as CIF:
```
data_HoZnInSe3
_chemical_formula_sum 'Ho4 Zn4 In4 Se12'
_symmetry_space_group_name_H-M 'P 1'
_symmetry_Int_Tables_number 1
_cell_length_a 10.889
_cell_length_b 4.086
_cell_length_c 14.620
_cell_angle_alpha 90.00
_cell_angle_beta 90.00
_cell_angle_gamma 90.00
loop_
_symmetry_equiv_pos_as_xyz
'x,y,z'
loop_
_atom_site_label
_atom_site_type_symbol
_atom_site_fract_x
_atom_site_fract_y
_atom_site_fract_z
Ho1 Ho 0.013 0.250 0.245
Ho2 Ho 0.487 0.750 0.745
Ho3 Ho 0.513 0.250 0.255
Ho4 Ho 0.987 0.750 0.755
Zn1 Zn 0.239 0.250 0.713
Zn2 Zn 0.261 0.750 0.213
Zn3 Zn 0.739 0.250 0.787
Zn4 Zn 0.761 0.750 0.287
In1 In 0.226 0.750 0.501
In2 In 0.274 0.250 0.001
In3 In 0.726 0.750 0.999
In4 In 0.774 0.250 0.499
Se1 Se 0.047 0.250 0.624
Se2 Se 0.077 0.750 0.117
Se3 Se 0.239 0.750 0.818
Se4 Se 0.261 0.250 0.318
Se5 Se 0.423 0.250 0.617
Se6 Se 0.453 0.750 0.124
Se7 Se 0.547 0.250 0.876
Se8 Se 0.577 0.750 0.383
Se9 Se 0.739 0.750 0.682
Se10 Se 0.761 0.250 0.182
Se11 Se 0.923 0.250 0.883
Se12 Se 0.953 0.750 0.376
```

Output
* crystal system: orthorhombic

=====

model d ends up most stable, edging out the next structure by 0.019 eV/atom.

=====

Model a:
DFT (PBE) results for crystalline HoZnInSe3 at its relaxed geometry.

Geometry as CIF:
```
data_HoZnInSe3
_chemical_formula_sum 'Ho4 Zn4 In4 Se12'
_symmetry_space_group_name_H-M 'P 1'
_symmetry_Int_Tables_number 1
_cell_length_a 10.190
_cell_length_b 4.134
_cell_length_c 15.491
_cell_angle_alpha 90.00
_cell_angle_beta 90.00
_cell_angle_gamma 90.00
loop_
_symmetry_equiv_pos_as_xyz
'x,y,z'
loop_
_atom_site_label
_atom_site_type_symbol
_atom_site_fract_x
_atom_site_fract_y
_atom_site_fract_z
Ho1 Ho 0.173 0.250 0.053
Ho2 Ho 0.327 0.750 0.553
Ho3 Ho 0.673 0.250 0.447
Ho4 Ho 0.827 0.750 0.947
Zn1 Zn 0.175 0.750 0.863
Zn2 Zn 0.325 0.250 0.363
Zn3 Zn 0.675 0.750 0.637
Zn4 Zn 0.825 0.250 0.137
In1 In 0.013 0.750 0.319
In2 In 0.487 0.250 0.819
In3 In 0.513 0.750 0.181
In4 In 0.987 0.250 0.681
Se1 Se 0.018 0.250 0.893
Se2 Se 0.172 0.250 0.483
Se3 Se 0.204 0.750 0.710
Se4 Se 0.296 0.250 0.210
Se5 Se 0.328 0.750 0.983
Se6 Se 0.482 0.750 0.393
Se7 Se 0.518 0.250 0.607
Se8 Se 0.672 0.250 0.017
Se9 Se 0.704 0.750 0.790
Se10 Se 0.796 0.250 0.290
Se11 Se 0.828 0.750 0.517
Se12 Se 0.982 0.750 0.107
```

Output
* crystal system: orthorhombic

=====

Model b:
DFT (PBE) results for crystalline HoZnInSe3 at its relaxed geometry.

Geometry as CIF:
```
data_HoZnInSe3
_chemical_formula_sum 'Ho4 Zn4 In4 Se12'
_symmetry_space_group_name_H-M 'P 1'
_symmetry_Int_Tables_number 1
_cell_length_a 11.649
_cell_length_b 4.231
_cell_length_c 12.395
_cell_angle_alpha 90.00
_cell_angle_beta 90.00
_cell_angle_gamma 90.00
loop_
_symmetry_equiv_pos_as_xyz
'x,y,z'
loop_
_atom_site_label
_atom_site_type_symbol
_atom_site_fract_x
_atom_site_fract_y
_atom_site_fract_z
Ho1 Ho 0.021 0.250 0.179
Ho2 Ho 0.479 0.750 0.679
Ho3 Ho 0.521 0.250 0.321
Ho4 Ho 0.979 0.750 0.821
Zn1 Zn 0.247 0.750 0.302
Zn2 Zn 0.253 0.250 0.802
Zn3 Zn 0.747 0.750 0.198
Zn4 Zn 0.753 0.250 0.698
In1 In 0.172 0.250 0.503
In2 In 0.328 0.750 0.003
In3 In 0.672 0.250 0.997
In4 In 0.828 0.750 0.497
Se1 Se 0.039 0.750 0.339
Se2 Se 0.097 0.250 0.936
Se3 Se 0.227 0.750 0.692
Se4 Se 0.273 0.250 0.192
Se5 Se 0.403 0.750 0.436
Se6 Se 0.461 0.250 0.839
Se7 Se 0.539 0.750 0.161
Se8 Se 0.597 0.250 0.564
Se9 Se 0.727 0.750 0.808
Se10 Se 0.773 0.250 0.308
Se11 Se 0.903 0.750 0.064
Se12 Se 0.961 0.250 0.661
```

Output
* crystal system: orthorhombic

=====

model b ends up most stable, edging out the next structure by 0.010 eV/atom.

=====

Model a:
DFT (PBE) results for crystalline SmHoIn at its relaxed geometry.

Geometry as CIF:
```
data_SmHoIn
_chemical_formula_sum 'Sm2 Ho2 In2'
_symmetry_space_group_name_H-M 'P 1'
_symmetry_Int_Tables_number 1
_cell_length_a 5.438
_cell_length_b 5.438
_cell_length_c 6.781
_cell_angle_alpha 90.00
_cell_angle_beta 90.00
_cell_angle_gamma 120.00
loop_
_symmetry_equiv_pos_as_xyz
'x,y,z'
loop_
_atom_site_label
_atom_site_type_symbol
_atom_site_fract_x
_atom_site_fract_y
_atom_site_fract_z
Sm1 Sm 0.000 0.000 0.000
Sm2 Sm 0.000 0.000 0.500
Ho1 Ho 0.333 0.667 0.250
Ho2 Ho 0.667 0.333 0.750
In1 In 0.333 0.667 0.750
In2 In 0.667 0.333 0.250
```

Output
* crystal system: hexagonal

=====

Model b:
DFT (PBE) results for crystalline SmHoIn at its relaxed geometry.

Geometry as CIF:
```
data_SmHoIn
_chemical_formula_sum 'Sm1 Ho1 In1'
_symmetry_space_group_name_H-M 'P 1'
_symmetry_Int_Tables_number 1
_cell_length_a 5.216
_cell_length_b 5.216
_cell_length_c 5.216
_cell_angle_alpha 60.00
_cell_angle_beta 60.00
_cell_angle_gamma 60.00
loop_
_symmetry_equiv_pos_as_xyz
'x,y,z'
loop_
_atom_site_label
_atom_site_type_symbol
_atom_site_fract_x
_atom_site_fract_y
_atom_site_fract_z
Sm1 Sm 0.000 0.000 0.000
Ho1 Ho 0.500 0.500 0.500
In1 In 0.750 0.750 0.750
```

Output
* crystal system: cubic

=====

model a ends up most stable, edging out the next structure by 0.255 eV/atom.